SrHoV2O8 after structural relaxation, computed with PBE+U.

Cell lengths 6.1657, 6.1657, 6.1657 Å; angles 106.02, 106.02, 116.62 degrees
Each line ends with the local moment (μB).
Atoms (fractional coordinates):
Sr1 0.0000 0.0000 0.0000  0.00
Ho1 0.2500 0.7500 0.5000  -0.01
V1 0.7500 0.2500 0.5000  -0.10
V2 0.5000 0.5000 0.0000  -0.10
O1 0.3967 0.0714 0.3253  0.14
O2 0.3418 0.5325 0.1906  0.13
O3 0.3418 0.1512 0.8094  0.13
O4 0.7462 0.0714 0.6747  0.14
O5 0.8488 0.6582 0.1906  0.13
O6 0.9286 0.2538 0.3253  0.14
O7 0.9286 0.6033 0.6747  0.14
O8 0.4675 0.6582 0.8094  0.13

Calculated values
Volume, Å³/cell: 178.3
SG: I-4m2, No. 119
Uncorrected energy, eV per cell: -89.4
Crystal system: tetragonal